# 1
The following is a DFT calculation (PBE) of a geometry-optimized Li2DyLu structure. Values from VASP.

The structure in Quantum ESPRESSO input format:
```
&SYSTEM
  ibrav = 0, nat = 4, ntyp = 3
/
ATOMIC_SPECIES
Lu 174.97 Lu.upf
Li 6.94 Li.upf
Dy 162.50 Dy.upf
CELL_PARAMETERS angstrom
-4.359 2.191 -1.765
-0.930 0.184 -5.101
-3.735 -2.951 -2.064
ATOMIC_POSITIONS crystal
Lu 0.500 0.500 0.500
Li 0.250 0.250 0.250
Li 0.750 0.750 0.750
Dy 0.000 0.000 0.000
```

Calculated values
Energy relative to the elements ... 160.8 meV/atom
ΔE to the lowest computed polymorph ... 2 meV/atom
Calculated total energy ... -12.3 eV for the cell shown

# 2
The following is a DFT calculation (PBE) of a geometry-optimized NdY4In structure. Values from VASP.

The structure in Quantum ESPRESSO input format:
```
&SYSTEM
  ibrav = 0, nat = 6, ntyp = 3
/
ATOMIC_SPECIES
Nd 144.24 Nd.upf
Y 88.91 Y.upf
In 114.82 In.upf
CELL_PARAMETERS angstrom
3.616 0.000 0.000
0.000 3.616 0.000
0.000 0.000 14.326
ATOMIC_POSITIONS crystal
Nd 0.000 0.000 0.000
Y 0.500 0.500 0.179
Y 0.000 0.000 0.644
Y 0.000 0.000 0.356
Y 0.500 0.500 0.821
In 0.500 0.500 0.500
```

Calculated values
Energy relative to the elements ... -162.1 meV/atom
ΔE to the lowest computed polymorph ... 0 meV/atom
Calculated total energy ... -34.3 eV for the cell shown

# 3
The following is a DFT calculation (PBE) of a geometry-optimized TcNiN3 structure. Values from VASP.

The structure in Quantum ESPRESSO input format:
```
&SYSTEM
  ibrav = 0, nat = 5, ntyp = 3
/
ATOMIC_SPECIES
Ni 58.69 Ni.upf
Tc 98.00 Tc.upf
N 14.01 N.upf
CELL_PARAMETERS angstrom
-0.082 -3.846 0.208
3.316 -0.177 -1.953
1.960 0.137 3.314
ATOMIC_POSITIONS crystal
Ni 0.500 0.500 0.500
Tc 0.000 0.000 0.000
N 0.000 0.500 0.000
N 0.000 0.000 0.500
N 0.500 0.000 0.000
```

Calculated values
Calculated total energy ... -34.9 eV for the cell shown
ΔE_f (raw) ... 1.243 eV/atom

# 4
The following is a DFT calculation (PBE) of a geometry-optimized NaUBiO2 structure. Values from VASP.

The structure in Quantum ESPRESSO input format:
```
&SYSTEM
  ibrav = 0, nat = 5, ntyp = 4
/
ATOMIC_SPECIES
Na 22.99 Na.upf
U 238.03 U.upf
Bi 208.98 Bi.upf
O 16.00 O.upf
CELL_PARAMETERS angstrom
3.866 0.000 0.000
0.000 3.866 0.000
-1.933 -1.933 6.782
ATOMIC_POSITIONS crystal
Na 0.844 0.844 0.688
U 0.172 0.172 0.345
Bi 0.512 0.512 0.024
O 0.736 0.236 0.472
O 0.236 0.736 0.472
```

Calculated values
Calculated total energy ... -36.0 eV for the cell shown
ΔE_f (raw) ... -1.923 eV/atom

# 5
The following is a DFT calculation (PBE) of a geometry-optimized TlFeSi2 structure. Values from VASP.

The structure in Quantum ESPRESSO input format:
```
&SYSTEM
  ibrav = 0, nat = 4, ntyp = 3
/
ATOMIC_SPECIES
Fe 55.84 Fe.upf
Si 28.09 Si.upf
Tl 204.38 Tl.upf
CELL_PARAMETERS angstrom
4.231 -0.002 -0.006
-2.116 5.166 -0.036
-0.002 1.133 3.189
ATOMIC_POSITIONS crystal
Fe 0.500 0.500 0.000
Si 0.000 0.000 0.000
Si 0.500 0.000 0.500
Tl 0.000 0.500 0.500
```

Calculated values
ΔE to the lowest computed polymorph ... 580 meV/atom
Calculated total energy ... -18.8 eV for the cell shown
ΔE_f (raw) ... 0.712 eV/atom

# 6
The following is a DFT calculation (PBE) of a geometry-optimized Th2Zr4Ge3H2 structure. Values from VASP.

The structure in Quantum ESPRESSO input format:
```
&SYSTEM
  ibrav = 0, nat = 11, ntyp = 4
/
ATOMIC_SPECIES
Th 232.04 Th.upf
Zr 91.22 Zr.upf
Ge 72.64 Ge.upf
H 1.01 H.upf
CELL_PARAMETERS angstrom
4.346 0.000 0.000
0.000 4.346 0.000
-2.173 -2.173 11.562
ATOMIC_POSITIONS crystal
Th 0.302 0.302 0.603
Th 0.698 0.698 0.397
Zr 0.425 0.925 0.850
Zr 0.925 0.425 0.850
Zr 0.075 0.575 0.150
Zr 0.575 0.075 0.150
Ge 0.000 0.000 0.000
Ge 0.164 0.164 0.328
Ge 0.836 0.836 0.672
H 0.408 0.408 0.817
H 0.592 0.592 0.183
```

Calculated values
Calculated total energy ... -75.9 eV for the cell shown

# 7
The following is a DFT calculation (PBE) of a geometry-optimized VSnPS2 structure. Values from VASP.

The structure in Quantum ESPRESSO input format:
```
&SYSTEM
  ibrav = 0, nat = 5, ntyp = 4
/
ATOMIC_SPECIES
P 30.97 P.upf
S 32.06 S.upf
Sn 118.71 Sn.upf
V 50.94 V.upf
CELL_PARAMETERS angstrom
4.922 0.000 0.000
0.000 4.922 0.000
0.000 0.000 4.955
ATOMIC_POSITIONS crystal
P 0.000 0.000 0.500
S 0.000 0.500 0.000
S 0.500 0.000 0.000
Sn 0.000 0.000 0.000
V 0.500 0.500 0.500
```

Calculated values
ΔE to the lowest computed polymorph ... 1175 meV/atom
Calculated total energy ... -21.3 eV for the cell shown
ΔE_f (raw) ... 1.093 eV/atom

# 8
The following is a DFT calculation (PBE) of a geometry-optimized BrCl3 structure. Values from VASP.

The structure in Quantum ESPRESSO input format:
```
&SYSTEM
  ibrav = 0, nat = 4, ntyp = 2
/
ATOMIC_SPECIES
Br 79.90 Br.upf
Cl 35.45 Cl.upf
CELL_PARAMETERS angstrom
-1.457 -1.046 -3.987
0.994 -4.115 1.088
-6.592 3.859 5.518
ATOMIC_POSITIONS crystal
Br 0.000 0.000 0.000
Cl 0.500 0.500 0.500
Cl 0.520 0.520 0.751
Cl 0.480 0.480 0.249
```

Calculated values
Calculated total energy ... -7.2 eV for the cell shown
ΔE_f (raw) ... 0.014 eV/atom

# 9
The following is a DFT calculation (PBE) of a geometry-optimized Tb3CeSm2P6 structure. Values from VASP.

The structure in Quantum ESPRESSO input format:
```
&SYSTEM
  ibrav = 0, nat = 12, ntyp = 4
/
ATOMIC_SPECIES
Tb 158.93 Tb.upf
Ce 140.12 Ce.upf
Sm 150.36 Sm.upf
P 30.97 P.upf
CELL_PARAMETERS angstrom
-1.383 -5.399 -4.292
0.234 -1.010 6.958
-6.097 3.469 -0.477
ATOMIC_POSITIONS crystal
Tb 0.167 0.833 0.500
Tb 0.833 0.167 0.500
Tb 0.500 0.500 0.500
Ce 0.000 0.000 0.000
Sm 0.334 0.666 0.000
Sm 0.666 0.334 0.000
P 0.916 0.586 0.747
P 0.755 0.755 0.252
P 0.084 0.414 0.253
P 0.586 0.916 0.747
P 0.245 0.245 0.748
P 0.414 0.084 0.253
```

Calculated values
Energy relative to the elements ... -1588.4 meV/atom
Calculated total energy ... -80.8 eV for the cell shown

# 10
The following is a DFT calculation (PBE) of a geometry-optimized AcHoGaCo structure. Values from VASP.

The structure in Quantum ESPRESSO input format:
```
&SYSTEM
  ibrav = 0, nat = 4, ntyp = 4
/
ATOMIC_SPECIES
Ac 227.00 Ac.upf
Co 58.93 Co.upf
Ho 164.93 Ho.upf
Ga 69.72 Ga.upf
CELL_PARAMETERS angstrom
5.163 0.000 0.000
2.581 4.471 0.000
2.581 1.490 4.216
ATOMIC_POSITIONS crystal
Ac 0.000 0.000 0.000
Co 0.750 0.750 0.750
Ho 0.500 0.500 0.500
Ga 0.250 0.250 0.250
```

Calculated values
Energy relative to the elements ... -133.4 meV/atom
Calculated total energy ... -19.4 eV for the cell shown

# 11
The following is a DFT calculation (PBE) of a geometry-optimized TcGe structure. Values from VASP.

The structure in Quantum ESPRESSO input format:
```
&SYSTEM
  ibrav = 0, nat = 16, ntyp = 2
/
ATOMIC_SPECIES
Tc 98.00 Tc.upf
Ge 72.64 Ge.upf
CELL_PARAMETERS angstrom
5.254 0.000 0.000
0.000 4.753 0.000
0.000 0.000 9.662
ATOMIC_POSITIONS crystal
Tc 0.655 0.142 0.941
Tc 0.155 0.358 0.059
Tc 0.345 0.642 0.559
Tc 0.845 0.858 0.441
Tc 0.139 0.933 0.825
Tc 0.639 0.567 0.175
Tc 0.861 0.433 0.675
Tc 0.361 0.067 0.325
Ge 0.312 0.870 0.065
Ge 0.812 0.630 0.935
Ge 0.688 0.370 0.435
Ge 0.188 0.130 0.565
Ge 0.330 0.438 0.806
Ge 0.830 0.062 0.194
Ge 0.670 0.938 0.694
Ge 0.170 0.562 0.306
```

Calculated values
Energy relative to the elements ... -108.5 meV/atom
ΔE to the lowest computed polymorph ... 73 meV/atom
Calculated total energy ... -121.6 eV for the cell shown

# 12
The following is a DFT calculation (PBE) of a geometry-optimized ScSb2O2 structure. Values from VASP.

The structure in Quantum ESPRESSO input format:
```
&SYSTEM
  ibrav = 0, nat = 10, ntyp = 3
/
ATOMIC_SPECIES
Sc 44.96 Sc.upf
Sb 121.76 Sb.upf
O 16.00 O.upf
CELL_PARAMETERS angstrom
6.108 0.000 0.000
0.000 6.108 0.000
0.000 0.000 4.743
ATOMIC_POSITIONS crystal
Sc 0.000 0.000 0.000
Sc 0.500 0.500 0.000
Sb 0.177 0.677 0.500
Sb 0.677 0.823 0.500
Sb 0.823 0.323 0.500
Sb 0.323 0.177 0.500
O 0.216 0.716 0.000
O 0.716 0.784 0.000
O 0.784 0.284 0.000
O 0.284 0.216 0.000
```

Calculated values
ΔE to the lowest computed polymorph ... 0 meV/atom
Calculated total energy ... -62.5 eV for the cell shown
ΔE_f (raw) ... -1.355 eV/atom

# 13
The following is a DFT calculation (PBE) of a geometry-optimized TcSbAs2 structure. Values from VASP.

The structure in Quantum ESPRESSO input format:
```
&SYSTEM
  ibrav = 0, nat = 4, ntyp = 3
/
ATOMIC_SPECIES
Sb 121.76 Sb.upf
As 74.92 As.upf
Tc 98.00 Tc.upf
CELL_PARAMETERS angstrom
-0.957 -1.697 -2.580
-1.067 -2.353 1.943
-6.733 3.314 0.317
ATOMIC_POSITIONS crystal
Sb 0.000 0.000 0.558
As 0.000 0.000 0.973
As 0.500 0.500 0.173
Tc 0.500 0.500 0.797
```

Calculated values
Calculated total energy ... -23.4 eV for the cell shown
ΔE_f (raw) ... 0.087 eV/atom